# 1
## Re2IrW (PBE)

Data for an optimized crystal structure of Re2IrW.

Calculated values
For the magnetic moment, the calculation gives 0.083 μB/atom. As for the offset from the most stable computed form: 41.9 kJ/mol of atoms. As for the density of states at the Fermi level: 6.174 states/eV per cell.

Unit cell a=4.4307 b=4.4307 c=4.4307 alpha=60.00 beta=60.00 gamma=60.00
Last column: nearest neighbours and their distance in Å.
Sites, in units of the cell vectors:
Re: 0.2500 0.2500 0.2500  4 W 2.71, 4 Ir 2.71
Re: 0.7500 0.7500 0.7500  4 W 2.71, 4 Ir 2.71
Ir: 0.0000 0.0000 0.0000  8 Re 2.71
W: 0.5000 0.5000 0.5000  8 Re 2.71



# 2
## TlBr2F8 (PBE)

Data for an optimized crystal structure of TlBr2F8.

Calculated values
For the magnetic moment, the calculation gives 0.016 μB/atom. Its formation energy (no corrections) is -1080 meV per atom. As for the density of states at the Fermi level: 2.699 states/eV per cell.

Unit cell a=4.2687 b=6.7215 c=7.4551 alpha=115.10 beta=90.20 gamma=93.70
Last column: nearest neighbours and their distance in Å.
Sites, in units of the cell vectors:
Tl: 0.0000 0.0000 0.0000  2 F 2.00
Br: 0.1723 0.2676 0.6148  4 F 1.92-2.14
Br: 0.8277 0.7324 0.3852  4 F 1.92-2.14
F: 0.1651 0.2515 0.3509  1 Br 1.92
F: 0.1688 0.2724 0.8745  1 Br 1.92
F: 0.3304 0.7527 0.3917  2 Br 2.14
F: 0.3483 0.7988 0.9105  1 Tl 2.00
F: 0.6517 0.2012 0.0895  1 Tl 2.00
F: 0.6696 0.2473 0.6083  2 Br 2.14
F: 0.8312 0.7276 0.1255  1 Br 1.92
F: 0.8349 0.7485 0.6491  1 Br 1.92



# 3
## VCr6Mo (PBE)

Data for an optimized crystal structure of VCr6Mo.

Calculated values
As for the total energy: -75.64 eV/cell. For the magnetic moment, the calculation gives 0.000 μB/atom. As for the density of states at the Fermi level: 5.703 states/eV per cell.

Unit cell a=5.1507 b=5.1507 c=5.1507 alpha=110.48 beta=110.48 gamma=110.48
Last column: nearest neighbours and their distance in Å.
Sites, in units of the cell vectors:
V: 0.0000 0.0000 0.0000  2 Mo 2.44, 6 Cr 2.45
Cr: 0.2441 0.7502 0.7502  6 Cr 2.43-2.60, 1 V 2.45, 1 Mo 2.51
Cr: 0.2498 0.2498 0.7559  6 Cr 2.43-2.60, 1 V 2.45, 1 Mo 2.51
Cr: 0.2498 0.7559 0.2498  6 Cr 2.43-2.60, 1 V 2.45, 1 Mo 2.51
Cr: 0.7502 0.2441 0.7502  6 Cr 2.43-2.60, 1 V 2.45, 1 Mo 2.51
Cr: 0.7502 0.7502 0.2441  6 Cr 2.43-2.60, 1 V 2.45, 1 Mo 2.51
Cr: 0.7559 0.2498 0.2498  6 Cr 2.43-2.60, 1 V 2.45, 1 Mo 2.51
Mo: 0.5000 0.5000 0.5000  2 V 2.44, 6 Cr 2.51



# 4
## Ce2SmPb3 (PBE)

Data for an optimized crystal structure of Ce2SmPb3.

Calculated values
For the magnetic moment, the calculation gives 0.441 μB/atom. As for the offset from the most stable computed form: 0.0 kJ/mol of atoms. As for the density of states at the Fermi level: 25.423 states/eV per cell.

Unit cell a=9.3464 b=9.3464 c=6.8273 alpha=90.01 beta=90.01 gamma=143.20
Last column: nearest neighbours and their distance in Å.
Sites, in units of the cell vectors:
Ce: 0.0000 0.0000 0.0000  2 Ce 3.41, 8 Pb 3.42-3.43
Ce: 0.0000 0.0000 0.5000  8 Pb 3.39-3.40, 2 Ce 3.41
Ce: 0.3334 0.6666 0.0000  2 Sm 3.41, 8 Pb 3.42-3.43
Ce: 0.6666 0.3334 0.0000  2 Sm 3.41, 8 Pb 3.42-3.43
Sm: 0.3324 0.6676 0.5000  8 Pb 3.38-3.41, 2 Ce 3.41
Sm: 0.6676 0.3324 0.5000  8 Pb 3.38-3.41, 2 Ce 3.41
Pb: 0.1665 0.8331 0.2543  2 Pb 3.36-3.47, 3 Sm 3.38-3.39, 5 Ce 3.40-3.43
Pb: 0.1669 0.8335 0.7457  2 Pb 3.36-3.47, 3 Sm 3.38-3.39, 5 Ce 3.40-3.43
Pb: 0.4989 0.4989 0.2542  2 Pb 3.36-3.47, 6 Ce 3.39-3.43, 2 Sm 3.41
Pb: 0.5011 0.5011 0.7458  2 Pb 3.36-3.47, 6 Ce 3.39-3.43, 2 Sm 3.41
Pb: 0.8331 0.1665 0.2543  2 Pb 3.36-3.47, 3 Sm 3.38-3.39, 5 Ce 3.40-3.43
Pb: 0.8335 0.1669 0.7457  2 Pb 3.36-3.47, 3 Sm 3.38-3.39, 5 Ce 3.40-3.43



# 5
## Ho4CdS7 (PBE)

Data for an optimized crystal structure of Ho4CdS7.

Calculated values
For the magnetic moment, the calculation gives 0.000 μB/atom. Its formation energy (no corrections) is -1793 meV per atom.

Unit cell a=6.6135 b=6.6135 c=11.5810 alpha=104.73 beta=104.73 gamma=33.54
Last column: nearest neighbours and their distance in Å.
Sites, in units of the cell vectors:
Ho: 0.0000 0.0000 0.0000  7 S 2.73-2.98
Ho: 0.3862 0.3862 0.6009  6 S 2.68-2.94
Ho: 0.5913 0.5913 0.3830  6 S 2.67-2.75
Ho: 0.6942 0.6942 0.8126  6 S 2.66-2.73
Cd: 0.8185 0.8185 0.2287  6 S 2.64-2.80
S: 0.0351 0.0351 0.7558  5 Ho 2.73-2.98
S: 0.2243 0.2243 0.3409  2 Ho 2.67, 2 Cd 2.75
S: 0.3544 0.3544 0.8578  4 Ho 2.73-2.85
S: 0.4481 0.4481 0.1602  3 Ho 2.73-2.86, 2 Cd 2.77
S: 0.6586 0.6586 0.0290  1 Cd 2.64, 3 Ho 2.66-2.73
S: 0.7374 0.7374 0.5991  4 Ho 2.67-2.69
S: 0.9662 0.9662 0.4561  4 Ho 2.75-2.90, 1 Cd 2.80



# 6
## W2C (PBE)

Data for an optimized crystal structure of W2C.

Calculated values
As for the total energy: -137.39 eV/cell. For the magnetic moment, the calculation gives 0.000 μB/atom. As for the density of states at the Fermi level: 6.228 states/eV per cell.

Unit cell a=5.3181 b=5.3181 c=5.3181 alpha=90.00 beta=90.00 gamma=90.00
Last column: nearest neighbours and their distance in Å.
Sites, in units of the cell vectors:
W: 0.1464 0.1464 0.1464  3 C 2.18
W: 0.1464 0.3536 0.6464  3 C 2.18
W: 0.3536 0.6464 0.1464  3 C 2.18
W: 0.3536 0.8536 0.6464  3 C 2.18
W: 0.6464 0.1464 0.3536  3 C 2.18
W: 0.6464 0.3536 0.8536  3 C 2.18
W: 0.8536 0.6464 0.3536  3 C 2.18
W: 0.8536 0.8536 0.8536  3 C 2.18
C: 0.0000 0.0000 0.5000  6 W 2.18
C: 0.0000 0.5000 0.0000  6 W 2.18
C: 0.5000 0.0000 0.0000  6 W 2.18
C: 0.5000 0.5000 0.5000  6 W 2.18